No. 1
Here is crystalline Pr4CuNi3 at its relaxed geometry from Alexandria. Energies are from GGA-PBE.

Results
**Density of states at the Fermi level**: 6.90 states/eV per cell
**Energy of formation from the pure elements**: -0.259 eV/atom

```
8
Lattice="-1.6353 -3.2089 -1.4242 3.6377 -2.3180 1.0459 -4.1343 -2.1553 9.6033" Properties=species:S:1:pos:R:3 pbc="T T T"
Pr -0.5177 -3.5553 3.3391
Pr -1.7160 -3.0018 8.7338
Pr -0.5781 -0.3014 1.3428
Pr -3.4497 -2.9766 5.4017
Cu 0.7285 -2.9057 0.4444
Ni -0.5430 -2.3903 6.0091
Ni -1.7835 -0.9298 4.1428
Ni -4.6728 -3.6142 8.2427
```



No. 2
Here is crystalline PrCu3Ni at its relaxed geometry from Alexandria. Energies are from GGA-PBE.

Results
**Density of states at the Fermi level**: 7.87 states/eV per cell
**ΔE to the lowest computed polymorph**: 0.0000 eV/atom
**Energy of formation from the pure elements**: -0.112 eV/atom

```
10
Lattice="-4.3244 -1.9113 -1.2225 1.9356 -1.0671 -5.1786 0.8693 -4.7600 4.3667" Properties=species:S:1:pos:R:3 pbc="T T T"
Pr 0.3554 -4.6170 1.0842
Pr -1.8749 -3.1213 -3.1186
Cu 1.0250 -4.2912 -1.7936
Cu -2.5444 -3.4472 -0.2407
Cu -0.1104 -2.2930 -0.9016
Cu -1.4091 -5.4454 -1.1327
Cu 0.9824 -2.8954 -3.8253
Cu -2.5019 -4.8429 1.7909
Ni 0.0000 0.0000 0.0000
Ni -2.1622 -0.9556 -0.6112
```



No. 3
Here is crystalline PrCu6Ni4 at its relaxed geometry from Alexandria. Energies are from GGA-PBE.

Results
**Density of states at the Fermi level**: 7.02 states/eV per cell
**Energy of formation from the pure elements**: 0.228 eV/atom

```
11
Lattice="-4.7624 3.7259 -1.0500 1.1041 -2.0269 5.6867 5.7264 2.1792 -0.3532" Properties=species:S:1:pos:R:3 pbc="T T T"
Pr 0.0000 0.0000 0.0000
Cu 3.3716 -0.5369 4.0720
Cu 4.7506 0.7180 2.2701
Cu -1.5911 2.6533 0.6300
Cu 0.4820 2.9525 -0.7016
Cu 2.3675 1.1961 2.6447
Cu -1.8292 0.8495 2.3183
Ni 3.1875 0.9573 0.4047
Ni 0.4610 2.1869 1.8757
Ni 1.1906 -0.8597 3.0139
Ni 4.0594 1.7460 4.3226
```



No. 4
Here is crystalline Pr6Cu2Ni at its relaxed geometry from Alexandria. Energies are from GGA-PBE.

Results
**Density of states at the Fermi level**: 19.88 states/eV per cell
**Energy of formation from the pure elements**: -0.059 eV/atom

```
18
Lattice="6.6930 0.0000 0.0971 0.0000 7.4164 0.0000 -0.6948 0.0000 10.5232" Properties=species:S:1:pos:R:3 pbc="T T T"
Pr 5.5409 7.1457 2.6409
Pr 5.1477 5.0080 6.0437
Pr 4.9005 5.1251 9.8905
Pr 4.0968 1.4169 6.0399
Pr 3.8497 1.2998 9.8868
Pr 4.1512 3.4375 2.7664
Pr 0.4573 0.2707 7.9794
Pr 0.8506 2.4084 4.5766
Pr 1.0977 2.2913 0.7298
Pr 1.9014 5.9995 4.5804
Pr 2.1485 6.1166 0.7335
Pr 1.8470 3.9789 7.8539
Cu 5.7294 2.9060 8.1325
Cu 3.2680 6.6142 7.7980
Cu 2.7302 0.8022 2.8223
Cu 0.2689 4.5104 2.4878
Ni 3.3465 3.7082 0.0486
Ni -0.3474 0.0000 5.2616
```



No. 5
Here is crystalline PrCuNi4 at its relaxed geometry from Alexandria. Energies are from GGA-PBE.

Results
**Density of states at the Fermi level**: 9.18 states/eV per cell
**ΔE to the lowest computed polymorph**: 1.7507 eV/atom
**Energy of formation from the pure elements**: 1.586 eV/atom

```
6
Lattice="-0.9411 -4.2711 -4.2743 4.3464 -1.2020 -4.1306 3.0629 -5.2879 0.2348" Properties=species:S:1:pos:R:3 pbc="T T T"
Pr 4.8511 -8.0708 -6.1276
Cu 0.0000 0.0000 0.0000
Ni 2.2114 -5.9381 -3.3027
Ni 3.8400 -6.3885 -4.8504
Ni 4.1926 -4.7882 -3.2488
Ni 2.6923 -4.4072 -4.9383
```



No. 6
Here is crystalline Pr2CuNi3Pt12 at its relaxed geometry from Alexandria. Energies are from GGA-PBE.

Results
**Density of states at the Fermi level**: 19.63 states/eV per cell
**Energy of formation from the pure elements**: 0.039 eV/atom

```
18
Lattice="-5.6688 -3.2788 -4.2846 2.0987 -3.5531 -6.6494 -0.3291 -7.8170 -0.1744" Properties=species:S:1:pos:R:3 pbc="T T T"
Pr -2.4078 -9.0457 -6.8595
Pr -1.4914 -5.6032 -4.2489
Cu 0.0000 0.0000 0.0000
Ni -2.8344 -1.6394 -2.1423
Ni 1.0493 -1.7766 -3.3247
Ni -0.1646 -3.9085 -0.0872
Pt -1.6012 -9.4490 -4.1633
Pt -3.2317 -8.8712 -9.5861
Pt -0.5783 -11.1263 -7.5436
Pt -4.3872 -7.0811 -6.3079
Pt -4.4381 -10.9900 -6.3685
Pt -0.3344 -7.2242 -7.5418
Pt -2.2980 -5.1999 -6.9451
Pt -0.6675 -5.7777 -1.5223
Pt -3.3209 -3.5226 -3.5648
Pt 0.4881 -7.5678 -4.8005
Pt 0.5389 -3.6589 -4.7399
Pt -3.5648 -7.4247 -3.5666
```



No. 7
Here is crystalline PrPuCuNi at its relaxed geometry from Alexandria. Energies are from GGA-PBE.

Results
**Density of states at the Fermi level**: 12.15 states/eV per cell
**Energy of formation from the pure elements**: -0.013 eV/atom

```
4
Lattice="4.9420 0.0000 0.0000 2.4710 4.2799 0.0000 2.4710 1.4266 4.0351" Properties=species:S:1:pos:R:3 pbc="T T T"
Pr 2.4710 1.4266 1.0088
Ni 4.9420 2.8532 2.0175
Cu 0.0000 0.0000 0.0000
Pu 7.4130 4.2799 3.0263
```



No. 8
Here is crystalline Pr2PuCu12Ni3 at its relaxed geometry from Alexandria. Energies are from GGA-PBE.

Results
**Density of states at the Fermi level**: 27.32 states/eV per cell
**Energy of formation from the pure elements**: 0.448 eV/atom

```
18
Lattice="7.9760 0.0542 0.0385 3.9861 6.9087 0.0385 3.9861 2.3203 6.5076" Properties=species:S:1:pos:R:3 pbc="T T T"
Pr 9.4567 5.5046 3.9043
Pr 6.4916 3.7786 2.6802
Pu 0.0000 0.0000 0.0000
Cu 7.5664 4.4042 5.6570
Cu 11.9526 6.9574 3.3926
Cu 10.6870 7.6763 5.4447
Cu 9.6452 3.2236 2.2865
Cu 11.9526 5.5019 5.4447
Cu 7.5664 6.7949 2.2865
Cu 8.3819 4.8790 0.9275
Cu 3.9956 2.3258 3.1919
Cu 5.2613 1.6069 1.1398
Cu 6.3031 6.0596 4.2980
Cu 3.9956 3.7813 1.1398
Cu 8.3819 2.4883 4.2980
Ni 3.9880 0.0271 0.0192
Ni 1.9931 3.4544 0.0192
Ni 1.9931 1.1601 3.2538
```



No. 9
Here is crystalline Pr2Cu3Ni12Rh at its relaxed geometry from Alexandria. Energies are from GGA-PBE.

Results
**Density of states at the Fermi level**: 26.39 states/eV per cell
**Energy of formation from the pure elements**: 0.240 eV/atom

```
18
Lattice="-6.0874 1.4670 7.2306 -4.0029 -4.0214 7.7003 -0.7424 0.5329 9.5213" Properties=species:S:1:pos:R:3 pbc="T T T"
Pr -7.0354 -1.3129 15.8810
Pr -3.7972 -0.7086 8.5713
Cu -3.0437 0.7335 3.6153
Cu -2.0014 -2.0107 3.8502
Cu -0.3712 0.2665 4.7606
Ni -4.8268 -0.6369 13.9777
Ni -9.6782 -2.1947 17.3051
Ni -6.5843 -2.7354 18.6310
Ni -6.9267 -0.2700 13.0778
Ni -7.7909 0.4415 18.3591
Ni -6.1077 -2.4262 13.2623
Ni -6.0058 -1.3846 10.4745
Ni -1.1544 0.1732 7.1472
Ni -4.2483 0.7139 5.8212
Ni -3.9059 -1.7516 11.3745
Ni -3.0417 -2.4630 6.0931
Ni -4.7248 0.4047 11.1899
Rh 0.0000 0.0000 0.0000
```



No. 10
Here is crystalline Pr2CuNi5Rh2 at its relaxed geometry from Alexandria. Energies are from GGA-PBE.

Results
**Density of states at the Fermi level**: 20.02 states/eV per cell
**Energy of formation from the pure elements**: -0.085 eV/atom

```
20
Lattice="3.6581 0.0000 0.0000 0.0000 9.3805 0.0000 0.0000 0.0000 9.3805" Properties=species:S:1:pos:R:3 pbc="T T T"
Pr 0.0000 6.3131 1.6228
Pr 0.0000 3.0674 7.7577
Pr 0.0000 1.6228 3.0674
Pr 0.0000 7.7577 6.3131
Cu 0.0000 0.0000 0.0000
Cu 0.0000 4.6902 4.6902
Ni 1.8290 1.7431 0.5014
Ni 1.8290 7.6374 8.8791
Ni 1.8290 0.5014 7.6374
Ni 1.8290 6.4333 4.1889
Ni 1.8290 8.8791 1.7431
Ni 1.8290 2.9472 5.1916
Ni 1.8290 5.1916 6.4333
Ni 1.8290 4.1889 2.9472
Ni 1.8290 4.6902 0.0000
Ni 1.8290 0.0000 4.6902
Rh 0.0000 1.2119 5.9022
Rh 0.0000 8.1686 3.4783
Rh 0.0000 5.9022 8.1686
Rh 0.0000 3.4783 1.2119
```



No. 11
Here is crystalline Pr2ScCu12Ni3 at its relaxed geometry from Alexandria. Energies are from GGA-PBE.

Results
**Density of states at the Fermi level**: 6.99 states/eV per cell
**Energy of formation from the pure elements**: 0.091 eV/atom

```
18
Lattice="-5.8059 2.3730 -1.6889 -2.3749 -5.4986 -2.5132 -3.1992 -1.9501 5.3060" Properties=species:S:1:pos:R:3 pbc="T T T"
Pr -8.4306 -3.7602 0.8178
Pr -2.9494 -1.3155 0.2861
Sc 0.0000 0.0000 0.0000
Cu -6.1564 -2.9696 2.7338
Cu -7.4362 -3.0496 -1.8289
Cu -6.1056 -5.2564 1.7419
Cu -7.2713 -1.1207 -0.2579
Cu -7.8569 -1.2382 2.1626
Cu -5.8039 -4.4874 -0.6105
Cu -5.2236 -2.1061 -1.6300
Cu -3.9439 -2.0261 2.9327
Cu -5.2745 0.1807 -0.6380
Cu -4.1088 -3.9550 1.3618
Cu -3.5231 -3.8375 -1.0588
Cu -5.5762 -0.5884 1.7143
Ni -2.9029 1.1865 -0.8445
Ni -1.1875 -2.7493 -1.2566
Ni -1.5996 -0.9750 2.6530
```



No. 12
Here is crystalline Pr2ScCu3Ni12 at its relaxed geometry from Alexandria. Energies are from GGA-PBE.

Results
**Density of states at the Fermi level**: 18.68 states/eV per cell
**Energy of formation from the pure elements**: 0.022 eV/atom

```
18
Lattice="6.1687 -1.3034 -0.9245 1.9131 6.0077 -0.9245 1.9131 1.1136 5.9755" Properties=species:S:1:pos:R:3 pbc="T T T"
Pr 7.0471 4.1020 2.9095
Pr 2.9478 1.7158 1.2170
Sc 0.0000 0.0000 0.0000
Cu 3.0844 -0.6517 -0.4623
Cu 0.9565 3.0038 -0.4623
Cu 0.9565 0.5568 2.9878
Ni 4.9470 2.8796 4.3818
Ni 7.0123 4.0817 0.2155
Ni 4.8133 5.3307 3.7810
Ni 6.8668 1.7893 1.2691
Ni 7.0123 1.5528 3.7810
Ni 4.9470 5.0874 1.2691
Ni 5.0478 2.9382 -0.2553
Ni 2.9825 1.7361 3.9110
Ni 5.1816 0.4871 0.3455
Ni 3.1280 4.0286 2.8574
Ni 2.9825 4.2650 0.3455
Ni 5.0478 0.7304 2.8574
```



No. 13
Here is crystalline Pr2CuSi3Ni12 at its relaxed geometry from Alexandria. Energies are from GGA-PBE.

Results
**Density of states at the Fermi level**: 12.46 states/eV per cell
**E_form (uncorrected)**: -0.049 eV/atom

```
18
Lattice="-4.2194 4.1200 2.2706 -4.2799 -4.3678 1.5933 1.8815 -0.4932 6.0125" Properties=species:S:1:pos:R:3 pbc="T T T"
Pr -4.3023 -0.4818 6.4208
Pr -2.3154 -0.2593 3.4556
Cu 0.0000 0.0000 0.0000
Si -2.1097 2.0600 1.1353
Si -2.1399 -2.1839 0.7966
Si 0.9408 -0.2466 3.0062
Ni -1.5429 -0.5404 6.9087
Ni -6.3839 -0.3469 4.9163
Ni -3.1945 -2.7585 6.8724
Ni -4.7288 1.8687 4.9547
Ni -3.1629 1.6786 7.2265
Ni -4.7604 -2.5637 4.6010
Ni -5.0748 -0.2007 2.9676
Ni -0.2339 -0.3942 4.9600
Ni -3.4232 2.0174 3.0039
Ni -1.8889 -2.6097 4.9216
Ni -3.4548 -2.4196 2.6498
Ni -1.8573 1.8226 5.2754
```



No. 14
Here is crystalline Pr2CuSi4Ni3 at its relaxed geometry from Alexandria. Energies are from GGA-PBE.

Results
**Density of states at the Fermi level**: 4.55 states/eV per cell
**E_form (uncorrected)**: -0.733 eV/atom

```
10
Lattice="4.0809 0.0000 0.0000 0.0000 4.0809 0.0000 0.0000 0.0000 9.6632" Properties=species:S:1:pos:R:3 pbc="T T T"
Pr 2.0405 0.0000 2.3960
Pr 0.0000 2.0405 7.2672
Cu 2.0405 2.0405 4.8316
Si 2.0405 2.0405 0.0000
Si 0.0000 0.0000 0.0000
Si 2.0405 0.0000 6.1122
Si 0.0000 2.0405 3.5510
Ni 0.0000 0.0000 4.8316
Ni 2.0405 0.0000 8.5103
Ni 0.0000 2.0405 1.1529
```



No. 15
Here is crystalline PrCuSi2Ni at its relaxed geometry from Alexandria. Energies are from GGA-PBE.

Results
**Density of states at the Fermi level**: 2.55 states/eV per cell
**E_form (uncorrected)**: -0.678 eV/atom

```
5
Lattice="-4.0029 -0.8632 0.0971 0.8508 -3.9885 -0.3828 1.7850 2.0038 5.0047" Properties=species:S:1:pos:R:3 pbc="T T T"
Pr 0.0000 0.0000 0.0000
Cu 0.5299 -2.2052 2.2395
Si -1.5235 -2.5319 1.0795
Si 0.1564 -0.3159 3.6395
Ni -1.8970 -0.6426 2.4795
```



No. 16
Here is crystalline Pr2Cu3NiSn4 at its relaxed geometry from Alexandria. Energies are from GGA-PBE.

Results
**Density of states at the Fermi level**: 5.64 states/eV per cell
**Energy of formation from the pure elements**: -0.442 eV/atom

```
10
Lattice="-3.5381 0.9814 -2.5899 0.2499 -4.0713 -1.8842 -6.4773 -3.8224 7.4003" Properties=species:S:1:pos:R:3 pbc="T T T"
Pr -3.4786 -0.5181 0.6582
Pr -4.6428 -4.8492 4.5051
Cu -3.2386 -1.9112 3.7002
Cu -7.3550 -2.8057 5.0871
Cu -0.7664 -2.5617 0.0762
Ni -4.8827 -3.4562 1.4631
Sn -1.6441 -1.5450 -2.2370
Sn 0.0000 0.0000 0.0000
Sn -5.7890 -1.8816 3.2979
Sn -2.3324 -3.4858 1.8654
```



No. 17
Here is crystalline Pr2CuNi4Sn3 at its relaxed geometry from Alexandria. Energies are from GGA-PBE.

Results
**Density of states at the Fermi level**: 6.70 states/eV per cell
**Energy of formation from the pure elements**: -0.436 eV/atom

```
10
Lattice="-3.0000 -3.0190 -1.1983 1.2919 0.3876 -4.2108 6.7005 -7.2107 1.3919" Properties=species:S:1:pos:R:3 pbc="T T T"
Pr 0.1848 -3.3225 -0.2492
Pr 5.6617 -5.2038 -1.0635
Cu 2.4962 -4.9210 -2.0086
Ni -0.8540 -1.3157 -2.7046
Ni 0.0000 0.0000 0.0000
Ni 2.6559 -5.9819 0.2642
Ni 3.1906 -2.5445 -1.5768
Sn 3.3503 -3.6053 0.6960
Sn 4.3420 -7.7963 0.6144
Sn 1.5044 -0.7300 -1.9271
```



No. 18
Here is crystalline Pr2Cu12Ni3Sn at its relaxed geometry from Alexandria. Energies are from GGA-PBE.

Results
**Density of states at the Fermi level**: 6.25 states/eV per cell
**Energy of formation from the pure elements**: 0.094 eV/atom

```
18
Lattice="-1.3882 -5.8636 -2.4557 5.3326 -3.0212 2.1850 -2.6794 -2.4674 5.3918" Properties=species:S:1:pos:R:3 pbc="T T T"
Pr 0.9394 -8.4303 3.8030
Pr 0.3256 -2.9219 1.3181
Cu -0.5971 -5.8522 4.4492
Cu 2.3747 -7.7758 1.3234
Cu 1.7155 -6.0420 5.3296
Cu -0.0511 -7.2882 1.1310
Cu -1.7155 -7.4931 2.9605
Cu 2.7908 -6.0864 3.0932
Cu 1.8622 -5.5000 0.6719
Cu -1.1097 -3.5764 3.7977
Cu -0.4505 -5.3102 -0.2085
Cu 1.3161 -4.0640 3.9901
Cu 2.9805 -3.8591 2.1606
Cu -1.5257 -5.2658 2.0279
Ni -0.6941 -2.9318 -1.2278
Ni 2.6663 -1.5106 1.0925
Ni -1.3397 -1.2337 2.6959
Sn 0.0000 0.0000 0.0000
```



No. 19
Here is crystalline PrCuNi4Sn2 at its relaxed geometry from Alexandria. Energies are from GGA-PBE.

Results
**Density of states at the Fermi level**: 5.38 states/eV per cell
**Energy of formation from the pure elements**: -0.267 eV/atom

```
8
Lattice="-0.9064 -4.1168 -0.5158 0.3156 -2.6717 3.2861 -8.3686 -0.7193 2.9631" Properties=species:S:1:pos:R:3 pbc="T T T"
Pr 0.0000 0.0000 0.0000
Cu -4.4797 -3.7539 2.8667
Ni -6.8018 -3.3153 3.4463
Ni -3.8868 -6.1660 3.5929
Ni -5.0726 -1.3419 2.1404
Ni -2.1576 -4.1926 2.2871
Sn -6.4169 -5.6881 4.2245
Sn -2.5425 -1.8198 1.5089
```



No. 20
Here is crystalline PrCuNiSn at its relaxed geometry from Alexandria. Energies are from GGA-PBE.

Results
**Density of states at the Fermi level**: 2.34 states/eV per cell
**Energy of formation from the pure elements**: -0.349 eV/atom

```
4
Lattice="4.7604 0.0000 0.0000 2.3802 4.1226 0.0000 2.3802 1.3742 3.8868" Properties=species:S:1:pos:R:3 pbc="T T T"
Pr 7.1406 4.1226 2.9151
Ni 0.0000 0.0000 0.0000
Sn 2.3802 1.3742 0.9717
Cu 4.7604 2.7484 1.9434
```